DFT (PBE) results for a geometry-optimized TcMo2Cl structure.

Cell lengths 5.2461, 5.2461, 5.2461 Å; angles 147.48, 129.17, 61.65 degrees
With the nearest neighbours (Å) after each atom.
Sites, in units of the cell vectors:
Tc 0.0000 0.0000 0.0000  4 Cl 2.69, 4 Mo 2.86, 2 Tc 2.94
Mo 0.2720 0.7720 0.5000  2 Cl 2.53, 4 Mo 2.72
Mo 0.7280 0.2280 0.5000  2 Cl 2.53, 4 Mo 2.72
Cl 0.5000 0.5000 0.0000  4 Mo 2.53, 4 Tc 2.69

Computed properties:
E_tot, eV per atom: -7.8947
Energy relative to the elements, uncorrected, meV/atom: 574
Space-group type: Immm
Volume, Å³/cell: 60
D(E_F), states/eV per cell: 2.898
Energy above the lowest structure with this stoichiometry, meV/atom: 332.4
Spin magnetization, μB per formula unit: 0.00

DFT (PBE) results for a geometry-optimized Sr5Li4Ag4 structure.

Cell lengths 9.3494, 9.3494, 9.3494 Å; angles 93.49, 93.49, 151.44 degrees
With the nearest neighbours (Å) after each atom.
Sites, in units of the cell vectors:
Sr 0.0000 0.0000 0.0000  4 Ag 3.47
Sr 0.2916 0.6289 0.9205  5 Ag 3.32-3.49, 3 Li 3.55-3.68
Sr 0.3711 0.2916 0.6628  5 Ag 3.32-3.49, 3 Li 3.55-3.68
Sr 0.6289 0.7084 0.3372  5 Ag 3.32-3.49, 3 Li 3.55-3.68
Sr 0.7084 0.3711 0.0795  5 Ag 3.32-3.49, 3 Li 3.55-3.68
Li 0.0989 0.4301 0.5289  3 Ag 2.90, 5 Li 3.10-3.18
Li 0.4301 0.9011 0.3312  3 Ag 2.90, 5 Li 3.10-3.18
Li 0.5699 0.0989 0.6688  3 Ag 2.90, 5 Li 3.10-3.18
Li 0.9011 0.5699 0.4711  3 Ag 2.90, 5 Li 3.10-3.18
Ag 0.0557 0.7350 0.7907  3 Li 2.90
Ag 0.2650 0.0557 0.3207  3 Li 2.90
Ag 0.7350 0.9443 0.6793  3 Li 2.90
Ag 0.9443 0.2650 0.2093  3 Li 2.90

Computed properties:
E_tot, eV per atom: -2.3134
Energy of formation, meV per atom: -200
Space-group type: I4/m
Volume, Å³/cell: 379
D(E_F), states/eV per cell: 7.622
Spin magnetization, μB per formula unit: 0.00

DFT (PBE) results for a geometry-optimized TaSi2Mo structure.

Cell lengths 9.5526, 9.5526, 9.5526 Å; angles 157.10, 157.10, 32.61 degrees
With the nearest neighbours (Å) after each atom.
Sites, in units of the cell vectors:
Ta 0.0000 0.0000 0.0000  4 Si 2.66, 4 Mo 2.68
Ta 0.7500 0.2500 0.5000  4 Si 2.66, 4 Mo 2.68
Si 0.1261 0.6250 0.0011  2 Mo 2.65, 2 Ta 2.66, 4 Si 2.68-2.69
Si 0.3750 0.3761 0.5011  2 Mo 2.65, 2 Ta 2.66, 4 Si 2.68-2.69
Si 0.6239 0.1250 0.9989  2 Mo 2.65, 2 Ta 2.66, 4 Si 2.68-2.69
Si 0.8750 0.8739 0.4989  2 Mo 2.65, 2 Ta 2.66, 4 Si 2.68-2.69
Mo 0.2500 0.7500 0.5000  4 Si 2.65, 4 Ta 2.68
Mo 0.5000 0.5000 0.0000  4 Si 2.65, 4 Ta 2.68

Computed properties:
E_tot, eV per atom: -8.1886
Energy relative to the elements, uncorrected, meV/atom: 194
Space-group type: I-42d
Volume, Å³/cell: 132
D(E_F), states/eV per cell: 6.165
Energy above the lowest structure with this stoichiometry, meV/atom: 581.5
Spin magnetization, μB per formula unit: 0.00

DFT (PBE) results for a geometry-optimized HBrF3 structure.

Cell lengths 3.6614, 3.6614, 3.6614 Å; angles 90.00, 90.00, 90.00 degrees
With the nearest neighbours (Å) after each atom.
Sites, in units of the cell vectors:
H 0.0000 0.0000 0.0000  6 F 1.83
Br 0.5000 0.5000 0.5000  12 F 2.59
F 0.0000 0.0000 0.5000  2 H 1.83
F 0.0000 0.5000 0.0000  2 H 1.83
F 0.5000 0.0000 0.0000  2 H 1.83

Computed properties:
E_tot, eV per atom: -2.1530
Space-group type: Pm-3m
Volume, Å³/cell: 49
D(E_F), states/eV per cell: 4.464
Energy above the lowest structure with this stoichiometry, meV/atom: 0.0
Spin magnetization, μB per formula unit: 1.19

DFT (PBE) results for a geometry-optimized TaAlPb2 structure.

Cell lengths 5.9636, 5.9636, 5.4475 Å; angles 105.99, 105.99, 29.67 degrees
With the nearest neighbours (Å) after each atom.
Sites, in units of the cell vectors:
Ta 0.0000 0.0000 0.0000  2 Al 2.77, 2 Ta 3.05
Al 0.3151 0.3151 0.6901  2 Ta 2.77, 2 Al 3.05
Pb 0.5571 0.5571 0.5322  2 Pb 3.05, 3 Al 3.15-3.23, 4 Ta 3.18-3.20
Pb 0.7589 0.7589 0.1638  2 Pb 3.05, 4 Al 3.15-3.22, 3 Ta 3.15-3.24

Computed properties:
E_tot, eV per atom: -5.3295
Energy of formation, meV per atom: 423
Space-group type: Cm
Volume, Å³/cell: 92
D(E_F), states/eV per cell: 2.214
Spin magnetization, μB per formula unit: 0.00

DFT (PBE) results for a geometry-optimized ZnSeBr2 structure.

Cell lengths 11.9528, 11.9528, 11.9528 Å; angles 17.16, 17.16, 17.16 degrees
With the nearest neighbours (Å) after each atom.
Sites, in units of the cell vectors:
Zn 0.0000 0.0000 0.0000  6 Br 2.59
Se 0.5000 0.5000 0.5000  6 Se 3.57
Br 0.3778 0.3778 0.3778  3 Zn 2.59
Br 0.6222 0.6222 0.6222  3 Zn 2.59

Computed properties:
E_tot, eV per atom: -2.1550
Energy relative to the elements, uncorrected, meV/atom: -129
Space-group type: R-3m
Volume, Å³/cell: 130
D(E_F), states/eV per cell: 1.931
Energy above the lowest structure with this stoichiometry, meV/atom: 308.5
Spin magnetization, μB per formula unit: 0.71

DFT (PBE) results for a geometry-optimized LiIrOs structure.

Cell lengths 4.1524, 4.1524, 2.6599 Å; angles 90.00, 90.00, 120.00 degrees
With the nearest neighbours (Å) after each atom.
Sites, in units of the cell vectors:
Li 0.0000 0.0000 0.0000  3 Ir 2.48, 3 Os 2.56, 2 Li 2.66
Ir 0.3333 0.6667 0.7557  3 Li 2.48, 3 Os 2.65, 2 Ir 2.66
Os 0.6667 0.3333 0.3334  3 Li 2.56, 6 Ir 2.65-2.85, 2 Os 2.66

Computed properties:
E_tot, eV per atom: -7.1873
Energy of formation, meV per atom: 148
Space-group type: P3m1
Volume, Å³/cell: 40
D(E_F), states/eV per cell: 2.207
Energy above the lowest structure with this stoichiometry, meV/atom: 173.4
Spin magnetization, μB per formula unit: 0.00

DFT (PBE) results for a geometry-optimized LiSiAs structure.

Cell lengths 4.1818, 5.6471, 5.6573 Å; angles 100.16, 111.64, 111.71 degrees
With the nearest neighbours (Å) after each atom.
Sites, in units of the cell vectors:
Li 0.0000 0.0000 0.0000  4 As 2.66-2.92, 3 Si 2.93-2.97
Li 0.4978 0.6564 0.3414  4 As 2.66-2.93, 3 Si 2.92-2.97
Si 0.3245 0.0758 0.5799  2 As 2.41-2.43, 2 Si 2.51
Si 0.8236 0.2360 0.4189  2 As 2.41-2.43, 2 Si 2.51
As 0.2251 0.7038 0.7446  2 Si 2.41-2.43, 2 Li 2.66
As 0.7238 0.4015 0.0475  2 Si 2.41-2.43, 2 Li 2.66

Computed properties:
E_tot, eV per atom: -4.2070
Energy relative to the elements, uncorrected, meV/atom: -212
Space-group type: P1
Volume, Å³/cell: 108
D(E_F), states/eV per cell: 0.919
Energy above the lowest structure with this stoichiometry, meV/atom: 0.0
Spin magnetization, μB per formula unit: 0.00

DFT (PBE) results for a geometry-optimized TiNbC structure.

Cell lengths 3.0556, 5.2442, 5.1812 Å; angles 90.00, 90.08, 90.00 degrees
With the nearest neighbours (Å) after each atom.
Sites, in units of the cell vectors:
Ti 0.0000 0.2500 0.1527  4 C 2.16
Ti 0.0000 0.7500 0.8473  4 C 2.16
Nb 0.4990 0.2500 0.6764  2 C 2.13
Nb 0.5010 0.7500 0.3236  2 C 2.13
C 0.5000 0.0000 0.0000  2 Nb 2.13, 4 Ti 2.16
C 0.5000 0.5000 0.0000  2 Nb 2.13, 4 Ti 2.16

Computed properties:
E_tot, eV per atom: -9.4137
Energy of formation, meV per atom: -351
Space-group type: P2_1/m
Volume, Å³/cell: 83
D(E_F), states/eV per cell: 4.338
Energy above the lowest structure with this stoichiometry, meV/atom: 183.4
Spin magnetization, μB per formula unit: 0.00